# Gd2Al2Ni3Pt

A geometry-optimized Gd2Al2Ni3Pt structure (PBE-GGA, OQMD via LeMat-Bulk).

Unit cell a=4.2086 b=4.2086 c=9.1140 alpha=90.00 beta=90.00 gamma=120.00
Last column: nearest neighbours and their distance in Å.
Fractional coordinates of all 8 atoms:
Gd  0.0000  0.0000  0.0000  5 Ni 2.79-2.99, 3 Pt 2.96
Gd  0.3333  0.6667  0.4895  7 Ni 2.75-2.95, 1 Pt 2.96
Al  0.6667  0.3333  0.2468  6 Ni 2.49
Al  0.6667  0.3333  0.7387  3 Ni 2.50, 3 Pt 2.53
Ni  0.0000  0.0000  0.3060  3 Al 2.49, 3 Ni 2.66
Ni  0.0000  0.0000  0.6724  3 Al 2.50, 3 Pt 2.75
Ni  0.3333  0.6667  0.1873  3 Al 2.49, 3 Ni 2.66, 1 Gd 2.75
Pt  0.3333  0.6667  0.8148  3 Al 2.53, 3 Ni 2.75

Values from the calculation:
The value obtained for the total energy is -45.35 eV/cell.